1.
CrNiTe2, optimized geometry, DFT PBE; ΔE to the lowest computed polymorph = 0.478 eV per atom; energy relative to the elements, uncorrected = 0.300 eV per atom; total moment = 0.75 μB/atom; electronic total energy = -5.122 eV per atom; theoretical density = 7936 kg/m³; crystal system = cubic; symmetry = Fm-3m
1.0
0.000 3.370 3.370
3.370 0.000 3.370
3.370 3.370 0.000
Cr Ni Te
1 1 2
direct
0.000 0.000 0.000
0.500 0.500 0.500
0.250 0.250 0.250
0.750 0.750 0.750

***

2.
CrNi2Te, optimized geometry, DFT PBE; energy relative to the elements, uncorrected = 0.166 eV per atom; total moment = 0.95 μB/atom; electronic total energy = -5.916 eV per atom; theoretical density = 8587 kg/m³; crystal system = tetragonal; symmetry = I4/mmm
1.0
-1.976 1.976 3.677
1.976 -1.976 3.677
1.976 1.976 -3.677
Cr Ni Te
1 2 1
direct
0.000 0.000 0.000
0.250 0.750 0.500
0.750 0.250 0.500
0.500 0.500 0.000

***

3.
CrNiTe2, optimized geometry, DFT PBE; ΔE to the lowest computed polymorph = 0.439 eV per atom; energy relative to the elements, uncorrected = 0.261 eV per atom; total moment = 0.85 μB/atom; electronic total energy = -5.161 eV per atom; theoretical density = 7922 kg/m³; crystal system = tetragonal; symmetry = P4/mmm
1.0
4.725 0.000 0.000
0.000 4.725 0.000
0.000 0.000 3.435
Cr Ni Te
1 1 2
direct
0.000 0.000 0.000
0.500 0.500 0.000
0.000 0.500 0.500
0.500 0.000 0.500

***

4.
CrNiTe2, optimized geometry, DFT PBE; ΔE to the lowest computed polymorph = 0.877 eV per atom; energy relative to the elements, uncorrected = 0.699 eV per atom; total moment = 0.93 μB/atom; electronic total energy = -4.723 eV per atom; theoretical density = 7332 kg/m³; crystal system = cubic; symmetry = F-43m
1.0
0.000 3.460 3.460
3.460 0.000 3.460
3.460 3.460 0.000
Cr Ni Te
1 1 2
direct
0.000 0.000 0.000
0.750 0.750 0.750
0.250 0.250 0.250
0.500 0.500 0.500

***

5.
Cr4NiTe, optimized geometry, DFT PBE; energy relative to the elements, uncorrected = 0.482 eV per atom; total moment = 0.00 μB/atom; electronic total energy = -7.421 eV per atom; theoretical density = 8192 kg/m³; crystal system = cubic; symmetry = F-43m
1.0
0.000 3.419 3.419
3.419 0.000 3.419
3.419 3.419 0.000
Cr Ni Te
4 1 1
direct
0.378 0.378 0.378
0.378 0.378 0.867
0.378 0.867 0.378
0.867 0.378 0.378
0.750 0.750 0.750
0.000 0.000 0.000

***

6.
TlCrNiTe3, optimized geometry, DFT PBE; energy relative to the elements, uncorrected = -0.212 eV per atom; total moment = 0.35 μB/atom; electronic total energy = -4.745 eV per atom; theoretical density = 7281 kg/m³; crystal system = monoclinic; symmetry = P2_1/m
1.0
8.651 0.000 0.000
0.000 3.869 0.000
-3.927 0.000 9.511
Tl Cr Ni Te
2 2 2 6
direct
0.011 0.250 0.294
0.989 0.750 0.706
0.472 0.250 0.171
0.528 0.750 0.829
0.482 0.750 0.396
0.518 0.250 0.604
0.247 0.750 0.161
0.317 0.750 0.555
0.334 0.250 0.881
0.666 0.750 0.119
0.683 0.250 0.445
0.753 0.250 0.839

***

7.
Tl3Cr2NiTe6, optimized geometry, DFT PBE; energy relative to the elements, uncorrected = -0.194 eV per atom; total moment = 0.55 μB/atom; electronic total energy = -4.442 eV per atom; theoretical density = 7635 kg/m³; crystal system = monoclinic; symmetry = C2/m
1.0
3.531 -6.104 0.000
3.531 6.104 0.000
-2.327 0.000 7.778
Tl Cr Ni Te
3 2 1 6
direct
0.000 0.000 0.000
0.326 0.674 0.000
0.674 0.326 0.000
0.167 0.833 0.500
0.833 0.167 0.500
0.500 0.500 0.500
0.119 0.441 0.322
0.237 0.237 0.684
0.441 0.119 0.322
0.559 0.881 0.678
0.763 0.763 0.316
0.881 0.559 0.678

***

8.
ThCrNi4, optimized geometry, DFT PBE; total moment = 0.85 μB/atom; electronic total energy = -6.908 eV per atom; theoretical density = 9854 kg/m³; calculated formation energy = -4.927 kcal/mol of atoms; crystal system = cubic; symmetry = F-43m
1.0
0.000 3.523 3.523
3.523 0.000 3.523
3.523 3.523 0.000
Th Cr Ni
1 1 4
direct
0.000 0.000 0.000
0.750 0.750 0.750
0.377 0.377 0.377
0.377 0.377 0.870
0.377 0.870 0.377
0.870 0.377 0.377

***

9.
TiCr2Ni2, optimized geometry, DFT PBE; ΔE to the lowest computed polymorph = 0.018 eV per atom; total moment = 0.00 μB/atom; electronic total energy = -7.647 eV per atom; theoretical density = 7219 kg/m³; calculated formation energy = 2.171 kcal/mol of atoms; crystal system = tetragonal; symmetry = P4/mbm
1.0
7.090 0.000 0.000
0.000 7.090 0.000
0.000 0.000 2.464
Ti Cr Ni
2 4 4
direct
0.000 0.000 0.000
0.500 0.500 0.000
0.175 0.325 0.500
0.325 0.825 0.500
0.675 0.175 0.500
0.825 0.675 0.500
0.121 0.621 0.000
0.379 0.121 0.000
0.621 0.879 0.000
0.879 0.379 0.000

***

10.
TiCrNi6, optimized geometry, DFT PBE; ΔE to the lowest computed polymorph = 0.000 eV per atom; total moment = 0.41 μB/atom; electronic total energy = -6.670 eV per atom; theoretical density = 8078 kg/m³; calculated formation energy = -3.320 kcal/mol of atoms; crystal system = orthorhombic; symmetry = Amm2
1.0
3.595 0.000 0.000
0.000 3.563 3.627
0.000 -3.563 3.627
Ti Cr Ni
1 1 6
direct
0.000 0.000 0.000
0.500 0.714 0.714
0.000 0.483 0.483
0.000 0.494 0.982
0.000 0.982 0.494
0.500 0.229 0.733
0.500 0.239 0.239
0.500 0.733 0.229

***

11.
TiCr3Ni, optimized geometry, DFT PBE; ΔE to the lowest computed polymorph = 0.000 eV per atom; total moment = 1.73 μB/atom; electronic total energy = -7.371 eV per atom; theoretical density = 5090 kg/m³; calculated formation energy = 26.251 kcal/mol of atoms; crystal system = cubic; symmetry = Pm-3m
1.0
4.408 0.000 0.000
0.000 4.408 0.000
0.000 0.000 4.408
Ti Cr Ni
1 3 1
direct
0.000 0.000 0.000
0.000 0.500 0.500
0.500 0.000 0.500
0.500 0.500 0.000
0.500 0.500 0.500

***

12.
TiCr3Ni, optimized geometry, DFT PBE; ΔE to the lowest computed polymorph = 0.500 eV per atom; total moment = 0.14 μB/atom; electronic total energy = -6.871 eV per atom; theoretical density = 5894 kg/m³; calculated formation energy = 37.789 kcal/mol of atoms; crystal system = cubic; symmetry = Pm-3m
1.0
4.198 0.000 0.000
0.000 4.198 0.000
0.000 0.000 4.198
Ti Cr Ni
1 3 1
direct
0.000 0.000 0.000
0.000 0.000 0.500
0.000 0.500 0.000
0.500 0.000 0.000
0.500 0.500 0.500

***

13.
Ti4CrNi3, optimized geometry, DFT PBE; total moment = 0.00 μB/atom; electronic total energy = -7.599 eV per atom; theoretical density = 6361 kg/m³; calculated formation energy = -6.474 kcal/mol of atoms; crystal system = tetragonal; symmetry = P4/mmm
1.0
3.019 0.000 0.000
0.000 3.019 0.000
0.000 0.000 12.020
Ti Cr Ni
4 1 3
direct
0.000 0.000 0.121
0.000 0.000 0.376
0.000 0.000 0.624
0.000 0.000 0.879
0.500 0.500 0.000
0.500 0.500 0.252
0.500 0.500 0.500
0.500 0.500 0.748

***

14.
TiCrNi6, optimized geometry, DFT PBE; ΔE to the lowest computed polymorph = 0.269 eV per atom; total moment = 0.19 μB/atom; electronic total energy = -6.401 eV per atom; theoretical density = 7256 kg/m³; calculated formation energy = 2.877 kcal/mol of atoms; crystal system = monoclinic; symmetry = C2/m
1.0
3.609 -2.343 0.000
3.609 2.343 0.000
-2.026 0.000 6.118
Ti Cr Ni
1 1 6
direct
0.000 0.000 0.000
0.500 0.500 0.500
0.043 0.559 0.201
0.144 0.144 0.440
0.441 0.957 0.799
0.559 0.043 0.201
0.856 0.856 0.560
0.957 0.441 0.799

***

15.
TiCr2Ni, optimized geometry, DFT PBE; total moment = 0.00 μB/atom; electronic total energy = -7.746 eV per atom; theoretical density = 6521 kg/m³; calculated formation energy = 11.172 kcal/mol of atoms; crystal system = tetragonal; symmetry = I-42d
1.0
-3.355 3.355 2.382
3.355 -3.355 2.382
3.355 3.355 -2.382
Ti Cr Ni
2 4 2
direct
0.000 0.000 0.000
0.750 0.250 0.500
0.149 0.625 0.024
0.375 0.399 0.524
0.601 0.125 0.976
0.875 0.851 0.476
0.250 0.750 0.500
0.500 0.500 0.000

***

16.
Ti2CrNi, optimized geometry, DFT PBE; total moment = 0.00 μB/atom; electronic total energy = -8.034 eV per atom; theoretical density = 6249 kg/m³; calculated formation energy = -5.431 kcal/mol of atoms; crystal system = tetragonal; symmetry = P4/mmm
1.0
3.023 0.000 0.000
0.000 3.023 0.000
0.000 0.000 6.000
Ti Cr Ni
2 1 1
direct
0.000 0.000 0.242
0.000 0.000 0.758
0.500 0.500 0.000
0.500 0.500 0.500

***

17.
Ti3CrNi, optimized geometry, DFT PBE; ΔE to the lowest computed polymorph = 0.000 eV per atom; total moment = 0.52 μB/atom; electronic total energy = -7.243 eV per atom; theoretical density = 4533 kg/m³; calculated formation energy = 13.253 kcal/mol of atoms; crystal system = cubic; symmetry = Pm-3m
1.0
4.533 0.000 0.000
0.000 4.533 0.000
0.000 0.000 4.533
Ti Cr Ni
3 1 1
direct
0.000 0.000 0.500
0.000 0.500 0.000
0.500 0.000 0.000
0.500 0.500 0.500
0.000 0.000 0.000

***

18.
TiCr3Ni12, optimized geometry, DFT PBE; total moment = 0.42 μB/atom; electronic total energy = -6.753 eV per atom; theoretical density = 8304 kg/m³; calculated formation energy = -2.745 kcal/mol of atoms; crystal system = tetragonal; symmetry = P4/mmm
1.0
3.562 0.000 0.000
0.000 3.562 0.000
0.000 0.000 14.309
Ti Cr Ni
1 3 12
direct
0.000 0.000 0.000
0.000 0.000 0.253
0.000 0.000 0.500
0.000 0.000 0.747
0.000 0.500 0.128
0.000 0.500 0.375
0.000 0.500 0.625
0.000 0.500 0.872
0.500 0.000 0.128
0.500 0.000 0.375
0.500 0.000 0.625
0.500 0.000 0.872
0.500 0.500 0.000
0.500 0.500 0.251
0.500 0.500 0.500
0.500 0.500 0.749

***

19.
Ti3CrNi, optimized geometry, DFT PBE; ΔE to the lowest computed polymorph = 0.137 eV per atom; total moment = 0.00 μB/atom; electronic total energy = -7.106 eV per atom; theoretical density = 4864 kg/m³; calculated formation energy = 16.406 kcal/mol of atoms; crystal system = cubic; symmetry = Pm-3m
1.0
4.428 0.000 0.000
0.000 4.428 0.000
0.000 0.000 4.428
Ti Cr Ni
3 1 1
direct
0.000 0.000 0.500
0.000 0.500 0.000
0.500 0.000 0.000
0.000 0.000 0.000
0.500 0.500 0.500

***

20.
Ti2Cr2Ni, optimized geometry, DFT PBE; total moment = 0.00 μB/atom; electronic total energy = -8.034 eV per atom; theoretical density = 6089 kg/m³; calculated formation energy = 2.980 kcal/mol of atoms; crystal system = tetragonal; symmetry = P4/mbm
1.0
6.114 0.000 0.000
0.000 6.114 0.000
0.000 0.000 3.771
Ti Cr Ni
4 4 2
direct
0.179 0.321 0.000
0.321 0.821 0.000
0.679 0.179 0.000
0.821 0.679 0.000
0.120 0.620 0.500
0.380 0.120 0.500
0.620 0.880 0.500
0.880 0.380 0.500
0.000 0.000 0.500
0.500 0.500 0.500

***

21.
TiCr2Ni2, optimized geometry, DFT PBE; ΔE to the lowest computed polymorph = 0.000 eV per atom; total moment = 0.00 μB/atom; electronic total energy = -7.665 eV per atom; theoretical density = 7177 kg/m³; calculated formation energy = 1.754 kcal/mol of atoms; crystal system = tetragonal; symmetry = P4/mbm
1.0
7.093 0.000 0.000
0.000 7.093 0.000
0.000 0.000 2.477
Ti Cr Ni
2 4 4
direct
0.000 0.000 0.000
0.500 0.500 0.000
0.113 0.387 0.000
0.387 0.887 0.000
0.613 0.113 0.000
0.887 0.613 0.000
0.181 0.681 0.500
0.319 0.181 0.500
0.681 0.819 0.500
0.819 0.319 0.500

***

22.
TiCr2Ni, optimized geometry, DFT PBE; total moment = 0.67 μB/atom; electronic total energy = -8.028 eV per atom; theoretical density = 6899 kg/m³; calculated formation energy = 4.671 kcal/mol of atoms; crystal system = cubic; symmetry = Fm-3m
1.0
0.000 2.937 2.937
2.937 0.000 2.937
2.937 2.937 0.000
Ti Cr Ni
1 2 1
direct
0.000 0.000 0.000
0.250 0.250 0.250
0.750 0.750 0.750
0.500 0.500 0.500

***

23.
TiCrNi4, optimized geometry, DFT PBE; total moment = 0.74 μB/atom; electronic total energy = -6.946 eV per atom; theoretical density = 7517 kg/m³; calculated formation energy = -3.963 kcal/mol of atoms; crystal system = cubic; symmetry = F-43m
1.0
0.000 3.331 3.331
3.331 0.000 3.331
3.331 3.331 0.000
Ti Cr Ni
1 1 4
direct
0.000 0.000 0.000
0.750 0.750 0.750
0.375 0.375 0.375
0.375 0.375 0.874
0.375 0.874 0.375
0.874 0.375 0.375

***

24.
Ti2CrNi, optimized geometry, DFT PBE; total moment = 0.00 μB/atom; electronic total energy = -7.277 eV per atom; theoretical density = 5782 kg/m³; calculated formation energy = 12.039 kcal/mol of atoms; crystal system = tetragonal; symmetry = I-42d
1.0
-1.860 1.860 8.570
1.860 -1.860 8.570
1.860 1.860 -8.570
Ti Cr Ni
4 2 2
direct
0.121 0.625 0.996
0.375 0.371 0.496
0.629 0.125 0.004
0.875 0.879 0.504
0.000 0.000 0.000
0.750 0.250 0.500
0.250 0.750 0.500
0.500 0.500 0.000

***

25.
TiVCrNi, optimized geometry, DFT PBE; total moment = 0.00 μB/atom; electronic total energy = -8.219 eV per atom; theoretical density = 6734 kg/m³; calculated formation energy = -2.645 kcal/mol of atoms; crystal system = cubic; symmetry = F-43m
1.0
0.000 2.956 2.956
2.956 0.000 2.956
2.956 2.956 0.000
Ti V Cr Ni
1 1 1 1
direct
0.000 0.000 0.000
0.500 0.500 0.500
0.250 0.250 0.250
0.750 0.750 0.750

***

26.
Y2TiCrNi, optimized geometry, DFT PBE; total moment = 0.00 μB/atom; electronic total energy = -6.587 eV per atom; theoretical density = 4781 kg/m³; calculated formation energy = 15.196 kcal/mol of atoms; crystal system = tetragonal; symmetry = P4/mmm
1.0
5.250 0.000 0.000
0.000 5.250 0.000
0.000 0.000 4.239
Y Ti Cr Ni
2 1 1 1
direct
0.000 0.500 0.000
0.500 0.000 0.000
0.000 0.000 0.500
0.000 0.000 0.000
0.500 0.500 0.500